Record 1
# Na4LiHg7 (PBE-GGA, relaxed)
# calculated volume: 294.6 Å³ per cell
# formation energy from the elements: -0.224 eV/atom
# magnetization: 0.00 μB per formula unit
data_Na4LiHg7
_chemical_formula_sum 'Na4 Li1 Hg7'
_cell_length_a 5.1634
_cell_length_b 5.1634
_cell_length_c 12.7597
_cell_angle_alpha 90.00
_cell_angle_beta 90.00
_cell_angle_gamma 120.00
_space_group_name_H-M_alt 'P -3 m 1'
_space_group_IT_number 164
_space_group_name_Hall '-P 3 2"'
loop_
_atom_site_label
_atom_site_fract_x
_atom_site_fract_y
_atom_site_fract_z
Na1 0.3333 0.6667 0.1643
Na2 0.3333 0.6667 0.4192
Li1 0.0000 0.0000 0.0000
Hg1 0.0000 0.0000 0.2357
Hg2 0.0000 0.0000 0.5000
Hg3 0.3333 0.6667 0.6742
Hg4 0.3333 0.6667 0.9281



Record 2
# NiSe (PBE-GGA, relaxed)
# calculated volume: 231.5 Å³ per cell
# E_form (uncorrected): -193 meV/atom
# magnetization: 0.00 μB per formula unit
data_NiSe
_chemical_formula_sum 'Ni6 Se6'
_cell_length_a 3.743
_cell_length_b 11.605
_cell_length_c 5.331
_cell_angle_alpha 90.00
_cell_angle_beta 90.00
_cell_angle_gamma 90.00
_space_group_name_H-M_alt 'P m m n'
_space_group_IT_number 59
loop_
_space_group_symop_operation_xyz
'x,y,z'
'-x,-y,-z'
'-x+1/2,-y+1/2,z'
'x+1/2,y+1/2,-z'
'x+1/2,-y,-z'
'-x+1/2,y,z'
'-x,y+1/2,-z'
'x,-y+1/2,z'
loop_
_atom_site_label
_atom_site_fract_x
_atom_site_fract_y
_atom_site_fract_z
Ni1 0.250 0.078 0.018
Ni2 0.250 0.750 0.501
Se1 0.250 0.250 0.245
Se2 0.250 0.594 0.238